Record 1
The following is a DFT calculation (PBE) of crystalline Sr3ZnBr2F6 at its relaxed geometry.

POSCAR file:
```
Sr3ZnBr2F6
1.0
-1.9222 -4.8996 -2.3575
5.0421 -3.8425 3.8747
-6.9656 0.3919 2.3297
F Sr Zn Br
6 3 1 2
direct
0.6988 0.8044 0.1279 F
0.3012 0.6765 0.8721 F
0.6243 0.8517 0.7035 F
0.6988 0.3235 0.1279 F
0.3757 0.1483 0.2965 F
0.3012 0.1956 0.8721 F
0.5000 0.0000 0.5000 Sr
0.5000 0.5000 0.5000 Sr
0.0000 0.5000 0.0000 Sr
0.5000 0.0000 0.0000 Zn
0.1069 0.7217 0.4435 Br
0.8931 0.2783 0.5565 Br
```

Total magnetic moment, μB per formula unit: 0.0
Calculated total energy, eV/atom: -4.6270
Formation energy from raw total energies, eV/atom: -2.89

***

Record 2
The following is a DFT calculation (PBE) of crystalline TaBrF at its relaxed geometry.

POSCAR file:
```
TaBrF
1.0
3.3238 0.0387 0.0375
1.5010 7.4120 -0.7112
1.6068 -0.8003 5.6109
Br Ta F
2 2 2
direct
0.3133 0.2639 0.1230 Br
0.6867 0.7361 0.8770 Br
0.3515 0.9799 0.3158 Ta
0.6485 0.0201 0.6842 Ta
0.0780 0.2164 0.6379 F
0.9220 0.7836 0.3621 F
```

Total magnetic moment, μB per formula unit: 0.0
Calculated total energy, eV/atom: -6.3286
Formation energy from raw total energies, eV/atom: -1.20

***

Record 3
The following is a DFT calculation (PBE) of crystalline Ta2BrF at its relaxed geometry.

POSCAR file:
```
Ta2BrF
1.0
0.0000 3.1641 3.1641
3.1641 0.0000 3.1641
3.1641 3.1641 0.0000
F Br Ta
1 1 2
direct
0.0000 0.0000 0.0000 F
0.5000 0.5000 0.5000 Br
0.2500 0.2500 0.2500 Ta
0.7500 0.7500 0.7500 Ta
```

Total magnetic moment, μB per formula unit: 0.0
Calculated total energy, eV/atom: -6.3307
Formation energy from raw total energies, eV/atom: 0.48

***

no.,DOS(E_F) (states/eV per atom)
1,0.00
2,0.12
3,0.78